*a*
## HgPtF4 (PBE)

Data for crystalline HgPtF4 at its relaxed geometry.

a = 4.6161 Å, b = 4.6161 Å, c = 9.9062 Å
α = 78.10°, β = 78.10°, γ = 73.87°
Fractional coordinates of all 12 atoms:
F 0.0123 0.5112 0.7684
F 0.3043 0.8050 0.0426
F 0.9877 0.4888 0.2316
F 0.6957 0.1950 0.9574
Hg 0.0000 0.5000 0.0000
F 0.8050 0.3043 0.5426
Hg 0.5000 0.0000 0.5000
F 0.4888 0.9877 0.7316
Pt 0.2495 0.7505 0.2500
Pt 0.7505 0.2495 0.7500
F 0.1950 0.6957 0.4574
F 0.5112 0.0123 0.2684

Results
Calculated volume in A^3/atom: 16.3
Crystal system: monoclinic

***

*b*
## HgPtF4 (PBE)

Data for crystalline HgPtF4 at its relaxed geometry.

a = 7.7600 Å, b = 6.4375 Å, c = 6.4376 Å
α = 68.70°, β = 52.94°, γ = 52.94°
Fractional coordinates of all 12 atoms:
F 0.2903 0.6756 0.6756
Hg 0.0000 0.0000 0.0000
Pt 0.5000 0.0000 0.0000
F 0.0341 0.6756 0.3244
Hg 0.7500 0.5000 0.5000
Pt 0.2500 0.5000 0.5000
F 0.7159 0.8244 0.1756
F 0.4597 0.8244 0.8244
F 0.1085 0.1756 0.1756
F 0.0341 0.3244 0.6756
F 0.7159 0.1756 0.8244
F 0.6415 0.3244 0.3244

Results
Calculated volume in A^3/atom: 17.1
DOS(E_F) in states/eV/f.u.: 2.1
Crystal system: tetragonal

***

Pick *a*: it beats the second-best structure by 0.224 eV/atom.

***

*a*
## HgPt2F (PBE)

Data for crystalline HgPt2F at its relaxed geometry.

a = 4.5078 Å, b = 4.5078 Å, c = 4.5078 Å
α = 60.00°, β = 60.00°, γ = 60.00°
Fractional coordinates of all 4 atoms:
Pt 0.7500 0.7500 0.7500
Hg 0.5000 0.5000 0.5000
Pt 0.2500 0.2500 0.2500
F 0.0000 0.0000 0.0000

Results
Calculated volume in A^3/atom: 16.2
DOS(E_F) in states/eV/f.u.: 4.1
Crystal system: cubic

***

*b*
## HgPt2F (PBE)

Data for crystalline HgPt2F at its relaxed geometry.

a = 3.7177 Å, b = 3.7177 Å, c = 10.3962 Å
α = 79.70°, β = 79.70°, γ = 90.00°
Fractional coordinates of all 8 atoms:
F 0.5000 0.5000 0.0000
Hg 0.7500 0.2500 0.5000
Pt 0.1288 0.6250 0.2500
F 0.2500 0.7500 0.5000
Pt 0.6212 0.1250 0.2500
Hg 0.0000 0.0000 0.0000
Pt 0.3750 0.3788 0.7500
Pt 0.8750 0.8712 0.7500

Results
Calculated volume in A^3/atom: 17.4
DOS(E_F) in states/eV/f.u.: 3.7
Crystal system: tetragonal

***

Pick *b*: it beats the second-best structure by 0.234 eV/atom.